This record from the Alexandria database describes a geometry-optimized Sm8SiAs5 structure. The functional is PBE.

a = 7.730 Å, b = 7.730 Å, c = 7.730 Å
α = 109.50°, β = 109.41°, γ = 109.50°
Positions (direct):
1 Sm 0.993 0.119 0.743
2 Sm 0.624 0.881 0.874
3 Sm 0.126 0.749 0.510
4 Sm 0.762 0.251 0.377
5 Sm 0.257 0.251 0.376
6 Sm 0.126 0.749 0.007
7 Sm 0.623 0.384 0.874
8 Sm 0.490 0.616 0.238
9 As 0.376 0.126 0.001
10 As 0.875 0.874 0.250
11 As 0.500 0.000 0.500
12 As 0.750 0.625 0.624
13 As 0.999 0.375 0.125
14 Si 0.250 0.500 0.750

ΔE_f (raw) ... -1.18 eV/atom
Energy ... -5.92 eV per atom
Crystal system ... tetragonal